Entry 1:
Below is a relaxed Nb3CuHg crystal, with properties calculated at the PBEsol level.

The structure in extended XYZ format:
```
5
Lattice="4.6245 0.0000 0.0000 0.0000 4.6245 0.0000 0.0000 0.0000 4.6245" Properties=species:S:1:pos:R:3 pbc="T T T"
Nb 0.0000 0.0000 2.3122
Nb 2.3122 0.0000 0.0000
Nb 0.0000 2.3122 0.0000
Cu 0.0000 0.0000 0.0000
Hg 2.3122 2.3122 2.3122
```

Space group: No. 221
Energy relative to the elements in eV per formula unit: 5.2

Entry 2:
Below is a relaxed TaNiP crystal, with properties calculated at the PBEsol level.

The structure in extended XYZ format:
```
3
Lattice="-0.8029 -0.0421 -3.3131 -3.4981 -0.5412 0.8546 1.2844 3.3889 -0.3543" Properties=species:S:1:pos:R:3 pbc="T T T"
Ni 0.0000 0.0000 0.0000
Ta -2.3054 0.7478 -1.2049
P -0.3098 2.0789 0.0486
```

Space group: No. 187
Energy relative to the elements in eV per formula unit: -2.3

Entry 3:
Below is a relaxed In2MoRh crystal, with properties calculated at the PBEsol level.

The structure in extended XYZ format:
```
4
Lattice="3.0098 0.0000 0.0000 0.0000 3.3685 0.0000 0.0000 0.0000 6.6566" Properties=species:S:1:pos:R:3 pbc="T T T"
Mo 1.5049 1.6842 0.0000
Rh 1.5049 1.6842 3.3283
In 0.0000 0.0000 1.7571
In 0.0000 0.0000 4.8996
```

Space group: No. 47
Excess energy over the best structure of this formula in the dataset in kJ/mol of atoms: 0.0
Energy relative to the elements in eV per formula unit: 0.3

Entry 4:
Below is a relaxed TbSnIr crystal, with properties calculated at the PBEsol level.

The structure in extended XYZ format:
```
9
Lattice="3.8563 0.0000 0.0000 0.0000 7.4490 0.0000 0.0000 -3.7245 6.4511" Properties=species:S:1:pos:R:3 pbc="T T T"
Tb 1.9282 1.5142 2.6227
Tb 1.9282 -2.2103 3.8283
Tb 1.9282 4.4206 0.0000
Ir 1.9282 0.0000 0.0000
Ir 0.0000 0.0000 4.3007
Ir 0.0000 3.7245 2.1503
Sn 0.0000 1.9422 0.0000
Sn 0.0000 2.7534 4.7691
Sn 0.0000 -0.9711 1.6820
```

Space group: No. 189
Energy relative to the elements in eV per formula unit: -2.6

Entry 5:
Below is a relaxed NiAgW2 crystal, with properties calculated at the PBEsol level.

The structure in extended XYZ format:
```
4
Lattice="2.6471 0.0371 0.0593 -0.0710 4.9159 0.0231 -0.0710 -2.1264 4.4323" Properties=species:S:1:pos:R:3 pbc="T T T"
W -0.0355 2.4579 0.0115
W -0.0355 -1.0632 2.2161
Ag 1.2525 1.4133 2.2573
Ni 1.3235 0.0186 0.0296
```

Space group: No. 65
Excess energy over the best structure of this formula in the dataset in kJ/mol of atoms: 10.0
Energy relative to the elements in eV per formula unit: 1.9

Entry 6:
Below is a relaxed BaNi2Te crystal, with properties calculated at the PBEsol level.

The structure in extended XYZ format:
```
4
Lattice="3.9718 0.0000 0.0000 0.0000 3.9718 0.0000 -1.9859 -1.9859 5.3371" Properties=species:S:1:pos:R:3 pbc="T T T"
Te 1.9859 1.9859 0.0000
Ni 1.9859 0.0000 2.6685
Ni 0.0000 0.0000 0.0000
Ba 0.0000 1.9859 2.6685
```

Space group: No. 119
ΔE_f (raw) in eV per formula unit: 1.16

Respective total magnetization values: 1.18 0.00 0.00 0.00 0.00 0.00 μB per formula unit.
Respective N(E_F) values: 8.578 0.305 3.647 6.274 4.045 3.104 states/eV/cell.
Respective VASP energy values: -32.18 -26.82 -25.59 -65.03 -35.21 -16.83 eV per cell.